No. 1
DFT (PBE) results for crystalline CaNd6Cd2 at its relaxed geometry.

Lattice parameters (Å, degrees): 13.251 3.801 12.369 90.00 109.21 90.00
Space group C2/m (No. 12)
Asymmetric unit:
Ca 0.000 0.000 0.000 (multiplicity 2)
Nd 0.016 0.000 0.340 (multiplicity 4)
Nd 0.191 0.500 0.588 (multiplicity 4)
Nd 0.191 0.500 0.873 (multiplicity 4)
Cd 0.141 0.500 0.206 (multiplicity 4)

Summary:
Spin magnetization = 0.00 μB/f.u.
Energy = -0.13745 Ha/atom

No. 2
DFT (PBE) results for crystalline CaNdCd at its relaxed geometry.

Lattice parameters (Å, degrees): 5.4292 5.4292 3.6822 90.00 90.00 120.00
Space group P3m1 (No. 156)
Asymmetric unit:
Ca 0.0000 0.0000 0.0000 (multiplicity 1)
Nd 0.6667 0.3333 0.4449 (multiplicity 1)
Cd 0.3333 0.6667 0.7755 (multiplicity 1)

Summary:
Spin magnetization = 0.00 μB/f.u.
Energy = -0.09711 Ha/atom

No. 3
DFT (PBE) results for crystalline CaNd5Cd3 at its relaxed geometry.

Lattice parameters (Å, degrees): 9.5257 9.5257 7.0746 90.00 90.00 120.00
Space group P6_3/mcm (No. 193)
Asymmetric unit:
Ca 0.0000 0.0000 0.0000 (multiplicity 2)
Nd 0.0000 0.3337 0.2500 (multiplicity 6)
Nd 0.3333 0.6667 0.0000 (multiplicity 4)
Cd 0.0000 0.3326 0.7500 (multiplicity 6)

Summary:
Spin magnetization = 0.00 μB/f.u.
Energy = -0.12342 Ha/atom

No. 4
DFT (PBE) results for crystalline Ca4Nd9Cd11 at its relaxed geometry.

Lattice parameters (Å, degrees): 17.028 23.116 3.545 90.00 90.00 90.00
Space group Cmmm (No. 65)
Asymmetric unit:
Ca 0.171 0.084 0.000 (multiplicity 8)
Nd 0.000 0.000 0.000 (multiplicity 2)
Nd 0.111 0.407 0.000 (multiplicity 8)
Nd 0.112 0.230 0.000 (multiplicity 8)
Cd 0.000 0.128 0.500 (multiplicity 4)
Cd 0.000 0.319 0.500 (multiplicity 4)
Cd 0.000 0.500 0.500 (multiplicity 2)
Cd 0.213 0.500 0.500 (multiplicity 4)
Cd 0.230 0.318 0.500 (multiplicity 8)

Summary:
Spin magnetization = 0.00 μB/f.u.
Energy = -0.10273 Ha/atom